[1]
Compound: Sm5Pb4
Source: Alexandria
Functional: PBE
Structure: optimized geometry

Values from the calculation:
- final energy (eV for the cell shown) = -174.33
- mass density (Mg/m³) = 9.3
- SG = No. 62
- ΔE_f (meV per atom) = -573

abc: 8.3613 15.9584 8.4679
angles: 90.00 90.00 90.00
Positions (direct):
Sm  0.0324  0.1007  0.1768
Sm  0.0324  0.3993  0.1768
Sm  0.1230  0.6195  0.3417
Sm  0.1230  0.8805  0.3417
Sm  0.2096  0.2500  0.5030
Sm  0.2904  0.7500  0.0030
Sm  0.3770  0.1195  0.8417
Sm  0.3770  0.3805  0.8417
Sm  0.4676  0.6007  0.6768
Sm  0.4676  0.8993  0.6768
Sm  0.5324  0.1007  0.3232
Sm  0.5324  0.3993  0.3232
Sm  0.6230  0.6195  0.1583
Sm  0.6230  0.8805  0.1583
Sm  0.7096  0.2500  0.9970
Sm  0.7904  0.7500  0.4970
Sm  0.8770  0.1195  0.6583
Sm  0.8770  0.3805  0.6583
Sm  0.9676  0.6007  0.8232
Sm  0.9676  0.8993  0.8232
Pb  0.0732  0.2500  0.8764
Pb  0.1576  0.7500  0.6486
Pb  0.2190  0.0430  0.5336
Pb  0.2190  0.4570  0.5336
Pb  0.2810  0.5430  0.0336
Pb  0.2810  0.9570  0.0336
Pb  0.3424  0.2500  0.1486
Pb  0.4268  0.7500  0.3764
Pb  0.5732  0.2500  0.6236
Pb  0.6576  0.7500  0.8514
Pb  0.7190  0.0430  0.9664
Pb  0.7190  0.4570  0.9664
Pb  0.7810  0.5430  0.4664
Pb  0.7810  0.9570  0.4664
Pb  0.8424  0.2500  0.3514
Pb  0.9268  0.7500  0.1236


[2]
Compound: Zr2Fe2Cu
Source: Alexandria
Functional: PBE
Structure: optimized geometry

Values from the calculation:
- final energy (eV for the cell shown) = -76.88
- mass density (Mg/m³) = 7.5
- SG = No. 127
- ΔE_f (meV per atom) = -65

abc: 6.4718 6.4718 3.8041
angles: 90.00 90.00 90.00
Positions (direct):
Zr  0.1824  0.3176  0.0000
Zr  0.3176  0.8176  0.0000
Zr  0.6824  0.1824  0.0000
Zr  0.8176  0.6824  0.0000
Fe  0.1194  0.6194  0.5000
Fe  0.3806  0.1194  0.5000
Fe  0.6194  0.8806  0.5000
Fe  0.8806  0.3806  0.5000
Cu  0.0000  0.0000  0.5000
Cu  0.5000  0.5000  0.5000


[3]
Compound: CuAg2BrCl2
Source: Alexandria
Functional: PBE
Structure: optimized geometry

Values from the calculation:
- final energy (eV for the cell shown) = -34.91
- E_form (uncorrected) (kJ/mol of atoms) = -36.8
- mass density (Mg/m³) = 4.6
- SG = No. 36

abc: 7.2367 7.2367 6.8624
angles: 90.00 90.00 60.67
Positions (direct):
Cu  0.1783  0.8217  0.5000
Cu  0.8217  0.1783  0.0000
Ag  0.1663  0.5083  0.9760
Ag  0.4917  0.8337  0.9760
Ag  0.5083  0.1663  0.4760
Ag  0.8337  0.4917  0.4760
Br  0.1371  0.8629  0.1388
Br  0.8629  0.1371  0.6388
Cl  0.1704  0.5173  0.5919
Cl  0.4827  0.8296  0.5919
Cl  0.5173  0.1704  0.0919
Cl  0.8296  0.4827  0.0919


[4]
Compound: BaSbSe
Source: Alexandria
Functional: PBE
Structure: optimized geometry

Values from the calculation:
- final energy (eV for the cell shown) = -10.87
- E_form (uncorrected) (kJ/mol of atoms) = -43.2
- mass density (Mg/m³) = 4.9
- SG = No. 216

abc: 5.4640 5.4640 5.4640
angles: 60.00 60.00 60.00
Positions (direct):
Ba  0.0000  0.0000  0.0000
Sb  0.2500  0.2500  0.2500
Se  0.5000  0.5000  0.5000


[5]
Compound: NaSmCdPd
Source: Alexandria
Functional: PBE
Structure: optimized geometry

Values from the calculation:
- final energy (eV for the cell shown) = -13.27
- mass density (Mg/m³) = 7.3
- SG = No. 216
- ΔE_f (meV per atom) = -280

abc: 5.0096 5.0096 5.0096
angles: 60.00 60.00 60.00
Positions (direct):
Na  0.0000  0.0000  0.0000
Sm  0.7500  0.7500  0.7500
Cd  0.2500  0.2500  0.2500
Pd  0.5000  0.5000  0.5000


[6]
Compound: RhPb2Cl
Source: Alexandria
Functional: PBE
Structure: optimized geometry

Values from the calculation:
- final energy (eV for the cell shown) = -17.29
- E_form (uncorrected) (kJ/mol of atoms) = -16.4
- mass density (Mg/m³) = 9.8
- SG = No. 12

abc: 5.5169 5.5169 3.2782
angles: 103.96 103.96 87.20
Positions (direct):
Rh  0.0000  0.0000  0.0000
Pb  0.0000  0.5000  0.5000
Pb  0.5000  0.0000  0.5000
Cl  0.5000  0.5000  0.0000


[7]
Compound: TiSe2Cl
Source: Alexandria
Functional: PBE
Structure: optimized geometry

Values from the calculation:
- final energy (eV for the cell shown) = -36.98
- E_form (uncorrected) (kJ/mol of atoms) = -42.9
- mass density (Mg/m³) = 3.4
- SG = No. 122

abc: 7.1779 7.1779 7.1779
angles: 125.58 125.58 80.58
Positions (direct):
Ti  0.0000  0.0000  0.0000
Ti  0.7500  0.2500  0.5000
Se  0.0441  0.6250  0.9191
Se  0.3750  0.2941  0.4191
Se  0.7059  0.1250  0.0809
Se  0.8750  0.9559  0.5809
Cl  0.2500  0.7500  0.5000
Cl  0.5000  0.5000  0.0000


[8]
Compound: YIn2Cl
Source: Alexandria
Functional: PBE
Structure: optimized geometry

Values from the calculation:
- final energy (eV for the cell shown) = -16.16
- E_form (uncorrected) (kJ/mol of atoms) = -57.3
- mass density (Mg/m³) = 5.8
- SG = No. 47

abc: 3.5229 4.8223 5.9831
angles: 90.00 90.00 90.00
Positions (direct):
Y  0.0000  0.0000  0.0000
In  0.0000  0.5000  0.5000
In  0.5000  0.0000  0.5000
Cl  0.5000  0.5000  0.0000


Question: Among the records above, which one has the lowest final energy?
Answer: Sm5Pb4


What did the first record say?
Compound: Sm5Pb4
Source: Alexandria
Functional: PBE
Structure: optimized geometry

Values from the calculation:
- final energy (eV for the cell shown) = -174.33
- mass density (Mg/m³) = 9.3
- SG = No. 62
- ΔE_f (meV per atom) = -573

abc: 8.3613 15.9584 8.4679
angles: 90.00 90.00 90.00
Positions (direct):
Sm  0.0324  0.1007  0.1768
Sm  0.0324  0.3993  0.1768
Sm  0.1230  0.6195  0.3417
Sm  0.1230  0.8805  0.3417
Sm  0.2096  0.2500  0.5030
Sm  0.2904  0.7500  0.0030
Sm  0.3770  0.1195  0.8417
Sm  0.3770  0.3805  0.8417
Sm  0.4676  0.6007  0.6768
Sm  0.4676  0.8993  0.6768
Sm  0.5324  0.1007  0.3232
Sm  0.5324  0.3993  0.3232
Sm  0.6230  0.6195  0.1583
Sm  0.6230  0.8805  0.1583
Sm  0.7096  0.2500  0.9970
Sm  0.7904  0.7500  0.4970
Sm  0.8770  0.1195  0.6583
Sm  0.8770  0.3805  0.6583
Sm  0.9676  0.6007  0.8232
Sm  0.9676  0.8993  0.8232
Pb  0.0732  0.2500  0.8764
Pb  0.1576  0.7500  0.6486
Pb  0.2190  0.0430  0.5336
Pb  0.2190  0.4570  0.5336
Pb  0.2810  0.5430  0.0336
Pb  0.2810  0.9570  0.0336
Pb  0.3424  0.2500  0.1486
Pb  0.4268  0.7500  0.3764
Pb  0.5732  0.2500  0.6236
Pb  0.6576  0.7500  0.8514
Pb  0.7190  0.0430  0.9664
Pb  0.7190  0.4570  0.9664
Pb  0.7810  0.5430  0.4664
Pb  0.7810  0.9570  0.4664
Pb  0.8424  0.2500  0.3514
Pb  0.9268  0.7500  0.1236


Question: Number 8 is which compound?
Answer: YIn2Cl